Density functional theory data (GGA-PBE) for an optimized crystal structure of AlCdSi.

Summary:
Its symmetry is No. 107. The electronic total energy comes out at -3.0702 eV/atom. The value obtained for the volume is 55.5 Å³ per cell. The calculation puts the energy relative to the elements, uncorrected at 0.29 eV per atom.

a b c (Å): 6.390 6.390 6.390
angles (deg): 152.50 152.50 39.28
Fractional positions:
Al1 0.985 0.985 0.000
Cd1 0.667 0.667 0.000
Si1 0.348 0.348 0.000